Record 1
Computed, not measured: a relaxed structure of Ta2CoAg at the PBE level of DFT.

Cell: 2.7897 2.7897 8.1982 Å, 90.00 90.00 90.00°
Space group P4/mmm (No. 123)
Unique sites:
Ta 0.0000 0.0000 0.2164
Co 0.5000 0.5000 0.0000
Ag 0.5000 0.5000 0.5000

## Properties
**Total magnetization**: 0.2 Bohr magnetons per cell
**ΔH_f (0 K)**: 10 kJ/mol of atoms
**Crystal system**: tetragonal
**DFT total energy**: -8.3157 eV/atom



Record 2
Computed, not measured: a relaxed structure of Ta2CoAg at the PBE level of DFT.

Cell: 2.8531 2.8531 27.7916 Å, 90.00 90.00 120.00°
Space group R-3m (No. 166, hexagonal axes)
Unique sites:
Ta 0.0000 0.0000 0.2417
Co 0.0000 0.0000 0.5000
Ag 0.0000 0.0000 0.0000

## Properties
**Total magnetization**: 0.9 Bohr magnetons per cell
**ΔH_f (0 K)**: 28 kJ/mol of atoms
**Crystal system**: trigonal
**DFT total energy**: -8.1258 eV/atom



Record 3
Computed, not measured: a relaxed structure of TaCo4Ag at the PBE level of DFT.

Cell: 6.7418 6.7418 6.7418 Å, 90.00 90.00 90.00°
Space group F-43m (No. 216)
Unique sites:
Ta 0.0000 0.0000 0.0000
Co 0.1251 0.1251 0.6251
Ag 0.2500 0.2500 0.2500

## Properties
**Total magnetization**: 15.5 Bohr magnetons per cell
**ΔH_f (0 K)**: 1 kJ/mol of atoms
**Crystal system**: cubic
**DFT total energy**: -7.1778 eV/atom



Record 4
Computed, not measured: a relaxed structure of Ta2CoAg at the PBE level of DFT.

Cell: 5.5733 8.0793 2.8247 Å, 90.00 90.00 90.00°
Space group Cmmm (No. 65)
Unique sites:
Ta 0.2500 0.2500 0.0000
Co 0.0000 0.0000 0.5000
Ag 0.0000 0.5000 0.5000

## Properties
**Total magnetization**: 0.0 Bohr magnetons per cell
**ΔH_f (0 K)**: 24 kJ/mol of atoms
**Crystal system**: orthorhombic
**DFT total energy**: -8.1715 eV/atom



Record 5
Computed, not measured: a relaxed structure of Ta2CoAg at the PBE level of DFT.

Cell: 2.9361 2.9361 26.9605 Å, 90.00 90.00 120.00°
Space group R3m (No. 160, hexagonal axes)
Unique sites:
Ta 0.0000 0.0000 0.0000
Ta 0.0000 0.0000 0.2419
Co 0.0000 0.0000 0.7342
Ag 0.0000 0.0000 0.4843

## Properties
**Total magnetization**: 0.0 Bohr magnetons per cell
**ΔH_f (0 K)**: 28 kJ/mol of atoms
**Crystal system**: trigonal
**DFT total energy**: -8.1237 eV/atom



Record 6
Computed, not measured: a relaxed structure of Ta2CoAg2Te6 at the PBE level of DFT.

Cell: 6.5878 11.6967 7.8193 Å, 90.00 105.23 90.00°
Space group C2/m (No. 12)
Unique sites:
Ta 0.0000 0.1219 0.0000
Co 0.0000 0.5000 0.0000
Ag 0.0000 0.1254 0.5000
Te 0.2016 0.3304 0.1897
Te 0.2340 0.5000 0.7331

## Properties
**Total magnetization**: 2.1 Bohr magnetons per cell
**Crystal system**: monoclinic
**DFT total energy**: -5.1278 eV/atom
**Formation energy without anion corrections**: -95 meV/atom



Record 7
Computed, not measured: a relaxed structure of Tb3CoAg at the PBE level of DFT.

Cell: 5.5582 6.4846 8.1338 Å, 68.47 76.71 65.06°
Space group P-1 (No. 2)
Unique sites:
Tb 0.0345 0.1628 0.1230
Tb 0.3678 0.1905 0.6841
Tb 0.3711 0.4630 0.2281
Co 0.4406 0.8349 0.9799
Ag 0.0946 0.7498 0.5147

## Properties
**Total magnetization**: 0.0 Bohr magnetons per cell
**ΔH_f (0 K)**: -19 kJ/mol of atoms
**Crystal system**: triclinic
**DFT total energy**: -4.9653 eV/atom



Record 8
Computed, not measured: a relaxed structure of Tb12Co6Ag at the PBE level of DFT.

Cell: 9.6700 9.6700 9.6700 Å, 90.00 90.00 90.00°
Space group Im-3 (No. 204)
Unique sites:
Tb 0.0000 0.3033 0.1946
Co 0.0000 0.1134 0.5000
Ag 0.0000 0.0000 0.0000

## Properties
**Total magnetization**: 0.0 Bohr magnetons per cell
**ΔH_f (0 K)**: -19 kJ/mol of atoms
**Crystal system**: cubic
**DFT total energy**: -5.5147 eV/atom



Record 9
Computed, not measured: a relaxed structure of Tb12CoAg6 at the PBE level of DFT.

Cell: 11.7843 11.7843 13.1034 Å, 90.00 90.00 120.00°
Space group R-3 (No. 148, hexagonal axes)
Unique sites:
Tb 0.0327 0.8438 0.3788
Tb 0.0384 0.1913 0.8888
Co 0.0000 0.0000 0.5000
Ag 0.0026 0.3962 0.7562

## Properties
**Total magnetization**: 0.0 Bohr magnetons per cell
**ΔH_f (0 K)**: -10 kJ/mol of atoms
**Crystal system**: trigonal
**DFT total energy**: -4.3003 eV/atom



Record 10
Computed, not measured: a relaxed structure of Tb5Co2Ag at the PBE level of DFT.

Cell: 7.6011 7.6011 13.2288 Å, 90.00 90.00 90.00°
Space group I4/mcm (No. 140)
Unique sites:
Tb 0.0000 0.0000 0.0000
Tb 0.1605 0.3395 0.1332
Co 0.1356 0.3644 0.5000
Ag 0.0000 0.0000 0.2500

## Properties
**Total magnetization**: 0.0 Bohr magnetons per cell
**ΔH_f (0 K)**: -20 kJ/mol of atoms
**Crystal system**: tetragonal
**DFT total energy**: -5.2384 eV/atom



Record 11
Computed, not measured: a relaxed structure of Tb3CoAg at the PBE level of DFT.

Cell: 5.1619 5.1619 5.1619 Å, 90.00 90.00 90.00°
Space group Pm-3m (No. 221)
Unique sites:
Tb 0.0000 0.0000 0.5000
Co 0.0000 0.0000 0.0000
Ag 0.5000 0.5000 0.5000

## Properties
**Total magnetization**: 0.0 Bohr magnetons per cell
**ΔH_f (0 K)**: -3 kJ/mol of atoms
**Crystal system**: cubic
**DFT total energy**: -4.8036 eV/atom



Record 12
Computed, not measured: a relaxed structure of TbCoAg at the PBE level of DFT.

Cell: 12.6612 3.9136 4.9072 Å, 90.00 101.88 90.00°
Space group C2/m (No. 12)
Unique sites:
Tb 0.1273 0.0000 0.3291
Co 0.2310 0.0000 0.8945
Ag 0.0732 0.5000 0.7826

## Properties
**Total magnetization**: 2.4 Bohr magnetons per cell
**ΔH_f (0 K)**: -13 kJ/mol of atoms
**Crystal system**: monoclinic
**DFT total energy**: -5.0015 eV/atom



Record 13
Computed, not measured: a relaxed structure of Tb2CoAg at the PBE level of DFT.

Cell: 3.8430 3.8430 22.5735 Å, 90.00 90.00 120.00°
Space group R-3m (No. 166, hexagonal axes)
Unique sites:
Tb 0.0000 0.0000 0.2331
Co 0.0000 0.0000 0.5000
Ag 0.0000 0.0000 0.0000

## Properties
**Total magnetization**: 0.0 Bohr magnetons per cell
**ΔH_f (0 K)**: -9 kJ/mol of atoms
**Crystal system**: trigonal
**DFT total energy**: -4.9022 eV/atom



Record 14
Computed, not measured: a relaxed structure of Tb4CoAg at the PBE level of DFT.

Cell: 13.3477 13.3477 13.3477 Å, 90.00 90.00 90.00°
Space group F-43m (No. 216)
Unique sites:
Tb 0.0000 0.0000 0.1878
Tb 0.0616 0.2500 0.2500
Tb 0.0981 0.0981 0.5981
Co 0.1087 0.1087 0.3913
Ag 0.1689 0.1689 0.8311

## Properties
**Total magnetization**: 0.0 Bohr magnetons per cell
**ΔH_f (0 K)**: -22 kJ/mol of atoms
**Crystal system**: cubic
**DFT total energy**: -4.9704 eV/atom



Record 15
Computed, not measured: a relaxed structure of Tb5CoAg4 at the PBE level of DFT.

Cell: 3.5567 3.5567 18.4058 Å, 90.00 90.00 90.00°
Space group P4/mmm (No. 123)
Unique sites:
Tb 0.0000 0.0000 0.0000
Tb 0.0000 0.0000 0.2051
Tb 0.0000 0.0000 0.4119
Co 0.5000 0.5000 0.5000
Ag 0.5000 0.5000 0.1023
Ag 0.5000 0.5000 0.3067

## Properties
**Total magnetization**: 0.9 Bohr magnetons per cell
**ΔH_f (0 K)**: -26 kJ/mol of atoms
**Crystal system**: tetragonal
**DFT total energy**: -4.4339 eV/atom



Record 16
Computed, not measured: a relaxed structure of Tb4CoAg at the PBE level of DFT.

Cell: 8.5264 12.3218 6.1135 Å, 90.00 104.94 90.00°
Space group C2/c (No. 15)
Unique sites:
Tb 0.1022 0.1654 0.0358
Tb 0.2054 0.4169 0.4089
Co 0.0000 0.0015 0.2500
Ag 0.0000 0.3708 0.7500

## Properties
**Total magnetization**: 0.0 Bohr magnetons per cell
**ΔH_f (0 K)**: -16 kJ/mol of atoms
**Crystal system**: monoclinic
**DFT total energy**: -4.9173 eV/atom



Record 17
Computed, not measured: a relaxed structure of Tb8CoAg2 at the PBE level of DFT.

Cell: 17.3366 5.2400 6.7965 Å, 90.00 107.10 90.00°
Space group C2/m (No. 12)
Unique sites:
Tb 0.0261 0.0000 0.2899
Tb 0.0886 0.5000 0.9284
Tb 0.1556 0.5000 0.4675
Tb 0.2011 0.0000 0.8073
Co 0.0000 0.5000 0.5000
Ag 0.1848 0.0000 0.2202

## Properties
**Total magnetization**: 0.0 Bohr magnetons per cell
**ΔH_f (0 K)**: -11 kJ/mol of atoms
**Crystal system**: monoclinic
**DFT total energy**: -4.6427 eV/atom



Record 18
Computed, not measured: a relaxed structure of Tb2Co2Ag at the PBE level of DFT.

Cell: 3.8248 13.6403 3.8413 Å, 90.00 90.00 90.00°
Space group Cmmm (No. 65)
Unique sites:
Tb 0.0000 0.1350 0.0000
Co 0.0000 0.2927 0.5000
Ag 0.0000 0.5000 0.5000

## Properties
**Total magnetization**: 2.5 Bohr magnetons per cell
**ΔH_f (0 K)**: -22 kJ/mol of atoms
**Crystal system**: orthorhombic
**DFT total energy**: -5.4947 eV/atom



Record 19
Computed, not measured: a relaxed structure of Tb2CoAg at the PBE level of DFT.

Cell: 3.3908 3.3908 7.5444 Å, 90.00 90.00 90.00°
Space group P4/mmm (No. 123)
Unique sites:
Tb 0.0000 0.0000 0.2199
Co 0.5000 0.5000 0.0000
Ag 0.5000 0.5000 0.5000

## Properties
**Total magnetization**: 0.7 Bohr magnetons per cell
**ΔH_f (0 K)**: -22 kJ/mol of atoms
**Crystal system**: tetragonal
**DFT total energy**: -5.0306 eV/atom



Record 20
Computed, not measured: a relaxed structure of TbCoAg at the PBE level of DFT.

Cell: 3.7616 16.4020 3.8151 Å, 90.00 90.00 90.00°
Space group Cmcm (No. 63)
Unique sites:
Tb 0.0000 0.1004 0.2500
Co 0.0000 0.4657 0.2500
Ag 0.0000 0.2937 0.2500

## Properties
**Total magnetization**: 2.5 Bohr magnetons per cell
**ΔH_f (0 K)**: -21 kJ/mol of atoms
**Crystal system**: orthorhombic
**DFT total energy**: -5.0848 eV/atom



Record 21
Computed, not measured: a relaxed structure of Tb4Co2Ag at the PBE level of DFT.

Cell: 11.6910 8.4666 8.7808 Å, 90.00 131.73 90.00°
Space group C2 (No. 5)
Unique sites:
Tb 0.0392 0.0000 0.2150
Tb 0.0898 0.5930 0.4083
Tb 0.1757 0.2501 0.7149
Tb 0.1812 0.3434 0.0916
Co 0.1106 0.2896 0.3478
Co 0.2372 0.5400 0.8473
Ag 0.0000 0.6577 0.0000
Ag 0.0000 0.9068 0.5000

## Properties
**Total magnetization**: 0.0 Bohr magnetons per cell
**ΔH_f (0 K)**: -12 kJ/mol of atoms
**Crystal system**: monoclinic
**DFT total energy**: -5.2046 eV/atom



Record 22
Computed, not measured: a relaxed structure of Tb5Co2Ag2 at the PBE level of DFT.

Cell: 16.0589 7.2334 7.3048 Å, 90.00 90.00 90.00°
Space group Cmce (No. 64)
Unique sites:
Tb 0.0000 0.0000 0.0000
Tb 0.1245 0.1812 0.3173
Co 0.0000 0.1091 0.6118
Ag 0.2196 0.0000 0.0000

## Properties
**Total magnetization**: 0.0 Bohr magnetons per cell
**ΔH_f (0 K)**: -20 kJ/mol of atoms
**Crystal system**: orthorhombic
**DFT total energy**: -4.9946 eV/atom